# LaTlV2O6 PBE with a Hubbard U relaxed
data_LaTlV2O6
_space_group_name_H-M_alt 'C 1 2/c 1'
_space_group_IT_number 15
_space_group_name_Hall '-C 2yc'
_cell_length_a 11.072
_cell_length_b 10.686
_cell_length_c 6.061
_cell_angle_alpha 90.00
_cell_angle_beta 103.18
_cell_angle_gamma 90.00
loop_
_atom_site_label
_atom_site_fract_x
_atom_site_fract_y
_atom_site_fract_z
La1 0.000 0.112 0.250
Tl1 0.000 0.340 0.750
V1 0.215 0.416 0.289
O1 0.118 0.063 0.627
O2 0.148 0.268 0.221
O3 0.157 0.485 0.530
# E	-7.36	eV/atom
# total moment	2.0	μB/f.u.

# LaTlVO4 PBE with a Hubbard U relaxed
data_LaTlVO4
_space_group_name_H-M_alt 'P 1 21/m 1'
_space_group_IT_number 11
_space_group_name_Hall '-P 2yb'
_cell_length_a 6.444
_cell_length_b 5.961
_cell_length_c 7.738
_cell_angle_alpha 90.00
_cell_angle_beta 102.21
_cell_angle_gamma 90.00
loop_
_atom_site_label
_atom_site_fract_x
_atom_site_fract_y
_atom_site_fract_z
La1 0.186 0.250 0.081
Tl1 0.286 0.250 0.621
V1 0.304 0.750 0.865
O1 0.097 0.520 0.850
O2 0.466 0.750 0.078
O3 0.467 0.750 0.707
# E	-7.13	eV/atom
# total moment	1.0	μB/f.u.

# LaTl2WO8 PBE with a Hubbard U relaxed
data_LaTl2WO8
_space_group_name_H-M_alt 'C m m m'
_space_group_IT_number 65
_space_group_name_Hall '-C 2 2'
_cell_length_a 7.130
_cell_length_b 7.199
_cell_length_c 7.036
_cell_angle_alpha 90.00
_cell_angle_beta 90.00
_cell_angle_gamma 90.00
loop_
_atom_site_label
_atom_site_fract_x
_atom_site_fract_y
_atom_site_fract_z
La1 0.000 0.000 0.000
Tl1 0.000 0.500 0.262
W1 0.000 0.000 0.500
O1 0.000 0.181 0.296
O2 0.183 0.500 0.000
O3 0.220 0.500 0.500
# E	-6.29	eV/atom
# total moment	1.1	μB/f.u.